A relaxed Pm6Sm2Y3Er crystal, computed with PBE-GGA.

abc: 6.2714 6.2714 11.9307
angles: 95.01 95.01 119.99
Positions (direct):
Pm (0.9165, 0.5840, 0.7497)
Pm (0.7510, 0.7510, 0.2506)
Pm (0.2490, 0.2490, 0.7494)
Pm (0.4160, 0.0835, 0.2503)
Pm (0.5840, 0.9165, 0.7497)
Pm (0.0835, 0.4160, 0.2503)
Y (0.8336, 0.1664, 0.5000)
Y (0.1664, 0.8336, 0.5000)
Y (0.5000, 0.5000, 0.5000)
Er (0.0000, 0.0000, 0.0000)
Sm (0.6667, 0.3333, 0.0000)
Sm (0.3333, 0.6667, 0.0000)

Output
- M_tot: 0.00 Bohr magnetons per cell
- Calculated volume: 33.35 Å³/atom
- DOS at the Fermi energy: 1.28 states/eV per atom
- Formation energy: 0.1 eV per formula unit

A relaxed Pm7ErSn5 crystal, computed with PBE-GGA.

abc: 6.5394 8.4447 8.4447
angles: 82.33 67.22 67.22
Positions (direct):
Pm (0.6008, 0.3992, 0.3992)
Pm (0.5276, 0.1373, 0.8075)
Pm (0.5276, 0.8075, 0.1373)
Pm (0.2550, 0.7450, 0.7450)
Pm (0.0174, 0.6548, 0.3105)
Pm (0.2699, 0.2301, 0.2301)
Pm (0.0174, 0.3105, 0.6548)
Er (0.9207, 0.0793, 0.0793)
Sn (0.5357, 0.9930, 0.4629)
Sn (0.0084, 0.4629, 0.9930)
Sn (0.7754, 0.7246, 0.7246)
Sn (0.5357, 0.4629, 0.9930)
Sn (0.0084, 0.9930, 0.4629)

Output
- M_tot: 0.00 Bohr magnetons per cell
- Calculated volume: 30.49 Å³/atom
- DOS at the Fermi energy: 1.21 states/eV per atom
- Formation energy: -6.1 eV per formula unit